Density functional theory data (PBE) for an optimized crystal structure of CsRbZn.

a = 6.447 Å, b = 6.447 Å, c = 6.423 Å
α = 119.80°, β = 119.80°, γ = 60.27°
Element x y z (fractional)
Cs: 0.000 0.000 0.000
Rb: 0.499 0.499 0.499
Zn: 0.749 0.749 0.249

Summary:
Its crystal system is monoclinic. The formation energy is 155 meV/atom. Its density of states at the Fermi level is 0.94 states/eV/cell.